Entry 1:
DFT (GGA-PBE) results for CsScBAu after structural relaxation.

For the total energy, the calculation gives -3.27 eV/atom. Its symmetry is F-43m, No. 216.

Cell: 4.8871 4.8871 4.8871 Å, 60.00 60.00 60.00°
With the nearest neighbours (Å) after each atom.
Fractional positions:
Sc1 0.0000 0.0000 0.0000  4 Au 2.99, 4 Cs 2.99
Au1 0.7500 0.7500 0.7500  4 B 2.99, 4 Sc 2.99
Cs1 0.2500 0.2500 0.2500  4 B 2.99, 4 Sc 2.99
B1 0.5000 0.5000 0.5000  4 Au 2.99, 4 Cs 2.99



Entry 2:
DFT (GGA-PBE) results for TcBiNO after structural relaxation.

For the total energy, the calculation gives -7.04 eV/atom. Its symmetry is Pmc2_1, No. 26.

Cell: 3.2635 6.1068 7.0202 Å, 90.00 90.00 90.00°
With the nearest neighbours (Å) after each atom.
Fractional positions:
Bi1 0.0000 0.5080 0.4420  1 N 2.35
Bi2 0.0000 0.0080 0.5580  1 N 2.35
Tc1 0.5000 0.5043 0.8910  2 O 1.90, 2 N 1.91
Tc2 0.5000 0.0043 0.1090  2 O 1.90, 2 N 1.91
N1 0.0000 0.9259 0.2315  2 Tc 1.91
N2 0.0000 0.4259 0.7685  2 Tc 1.91
O1 0.5000 0.3157 0.1059  2 Tc 1.90
O2 0.5000 0.8157 0.8941  2 Tc 1.90



Entry 3:
DFT (GGA-PBE) results for TbHo2 after structural relaxation.

As for the energy relative to the elements: 2.5360 eV per atom. Its symmetry is Fd-3m, No. 227.

Cell: 9.8440 9.8440 9.8440 Å, 60.00 60.00 60.00°
With the nearest neighbours (Å) after each atom.
Fractional positions:
Ho1 0.5000 0.0000 0.0000  2 Tb 3.01
Ho2 0.0000 0.0000 0.0000  2 Tb 3.01
Ho3 0.0000 0.5000 0.0000  2 Tb 3.01
Ho4 0.0000 0.0000 0.5000  2 Tb 3.01
Tb1 0.8750 0.8750 0.8750  4 Ho 3.01
Tb2 0.1250 0.1250 0.1250  4 Ho 3.01



Entry 4:
DFT (GGA-PBE) results for CsDyZnTe3 after structural relaxation.

For the total energy, the calculation gives -3.80 eV/atom. Its symmetry is Cmcm, No. 63.

Cell: 11.7143 8.9082 8.9082 Å, 28.79 90.00 90.00°
With the nearest neighbours (Å) after each atom.
Fractional positions:
Te1 0.6917 0.6190 0.6190  1 Zn 2.66
Te2 0.0000 0.0604 0.0604  2 Zn 2.77
Te3 0.3083 0.6190 0.6190  1 Zn 2.66
Te4 0.8083 0.3810 0.3810  1 Zn 2.66
Te5 0.1917 0.3810 0.3810  1 Zn 2.66
Te6 0.5000 0.9396 0.9396  2 Zn 2.77
Cs1 0.0000 0.7470 0.7470  8 Te 3.91-4.23, 2 Zn 4.35
Cs2 0.5000 0.2530 0.2530  8 Te 3.91-4.23, 2 Zn 4.35
Zn1 0.0000 0.4639 0.4639  4 Te 2.66-2.77
Zn2 0.5000 0.5361 0.5361  4 Te 2.66-2.77
Dy1 0.2500 0.0000 0.0000  6 Te 3.10-3.11
Dy2 0.7500 0.0000 0.0000  6 Te 3.10-3.11